A plane-wave DFT calculation with PBE+U was carried out for crystalline ZrMn2F at its relaxed geometry.

Unit cell a=5.872 b=5.872 c=5.872 alpha=100.81 beta=100.81 gamma=128.67
Element x y z (fractional)
Zr1 0.000 0.000 0.000
Zr2 0.750 0.250 0.500
Mn1 0.196 0.625 0.071
Mn2 0.375 0.446 0.571
Mn3 0.554 0.125 0.929
Mn4 0.875 0.804 0.429
F1 0.250 0.750 0.500
F2 0.500 0.500 0.000

V   142.5 Å³/cell
Final energy   -52.8 eV for the cell shown
ρ   5.131 Mg/m³